Record 1
The following is a DFT calculation (PBE-GGA) of a relaxed LiMnIr3 crystal.

Geometry as CIF:
```
data_LiMnIr3
_chemical_formula_sum 'Li1 Mn1 Ir3'
_space_group_name_H-M_alt 'P m -3 m'
_space_group_IT_number 221
_space_group_name_Hall '-P 4 2 3'
_cell_length_a 4.479
_cell_length_b 4.479
_cell_length_c 4.479
_cell_angle_alpha 90.00
_cell_angle_beta 90.00
_cell_angle_gamma 90.00
loop_
_atom_site_label
_atom_site_type_symbol
_atom_site_fract_x
_atom_site_fract_y
_atom_site_fract_z
_atom_site_occupancy
Li1 Li 0.000 0.000 0.000 1
Mn1 Mn 0.500 0.500 0.500 1
Ir1 Ir 0.000 0.500 0.500 1
```

Calculated values
For the excess energy over the best structure of this formula in the dataset, the calculation gives 42 meV per atom. The formation energy comes out at 1.06 eV per atom. Its volume is 18.0 Å³ per atom. As for the crystal system: cubic. The calculated total energy comes out at -6.4747 eV per atom. Its density of states at the Fermi level is 1.11 states/eV/atom.

***

Record 2
The following is a DFT calculation (PBE-GGA) of a relaxed CaNpBeO5 crystal.

Geometry as CIF:
```
data_CaNpBeO5
_chemical_formula_sum 'Ca4 Np4 Be4 O20'
_space_group_name_H-M_alt 'C 1 2/c 1'
_space_group_IT_number 15
_space_group_name_Hall '-C 2yc'
_cell_length_a 6.733
_cell_length_b 8.901
_cell_length_c 7.712
_cell_angle_alpha 90.00
_cell_angle_beta 114.26
_cell_angle_gamma 90.00
loop_
_atom_site_label
_atom_site_type_symbol
_atom_site_fract_x
_atom_site_fract_y
_atom_site_fract_z
_atom_site_occupancy
Ca1 Ca 0.000 0.153 0.250 1
Np1 Np 0.000 0.500 0.000 1
Be1 Be 0.000 0.188 0.750 1
O1 O 0.000 0.406 0.250 1
O2 O 0.106 0.295 0.631 1
O3 O 0.182 0.067 0.901 1
```

Calculated values
Its volume is 13.2 Å³ per atom. As for the crystal system: monoclinic. The calculated total energy comes out at -8.2660 eV per atom. Its density of states at the Fermi level is 0.02 states/eV/atom.

***

Record 3
The following is a DFT calculation (PBE-GGA) of a relaxed Si2CCl2 crystal.

Geometry as CIF:
```
data_Si2CCl2
_chemical_formula_sum 'Si4 C2 Cl4'
_space_group_name_H-M_alt 'I 4/m m m'
_space_group_IT_number 139
_space_group_name_Hall '-I 4 2'
_cell_length_a 4.109
_cell_length_b 4.109
_cell_length_c 11.442
_cell_angle_alpha 90.00
_cell_angle_beta 90.00
_cell_angle_gamma 90.00
loop_
_atom_site_label
_atom_site_type_symbol
_atom_site_fract_x
_atom_site_fract_y
_atom_site_fract_z
_atom_site_occupancy
Si1 Si 0.000 0.000 0.106 1
C1 C 0.000 0.000 0.500 1
Cl1 Cl 0.000 0.500 0.250 1
```

Calculated values
For the excess energy over the best structure of this formula in the dataset, the calculation gives 985 meV per atom. Its volume is 19.3 Å³ per atom. As for the crystal system: tetragonal. The calculated total energy comes out at -3.1970 eV per atom. Its density of states at the Fermi level is 0.50 states/eV/atom.

***

Record 4
The following is a DFT calculation (PBE-GGA) of a relaxed ICl3F crystal.

Geometry as CIF:
```
data_ICl3F
_chemical_formula_sum 'I1 Cl3 F1'
_space_group_name_H-M_alt 'P m -3 m'
_space_group_IT_number 221
_space_group_name_Hall '-P 4 2 3'
_cell_length_a 5.267
_cell_length_b 5.267
_cell_length_c 5.267
_cell_angle_alpha 90.00
_cell_angle_beta 90.00
_cell_angle_gamma 90.00
loop_
_atom_site_label
_atom_site_type_symbol
_atom_site_fract_x
_atom_site_fract_y
_atom_site_fract_z
_atom_site_occupancy
I1 I 0.000 0.000 0.000 1
Cl1 Cl 0.000 0.000 0.500 1
F1 F 0.500 0.500 0.500 1
```

Calculated values
For the excess energy over the best structure of this formula in the dataset, the calculation gives 525 meV per atom. Its volume is 29.2 Å³ per atom. As for the crystal system: cubic. The calculated total energy comes out at -1.6837 eV per atom. Its density of states at the Fermi level is 4.93 states/eV/atom.

***

Record 5
The following is a DFT calculation (PBE-GGA) of a relaxed La4ZnGaO crystal.

Geometry as CIF:
```
data_La4ZnGaO
_chemical_formula_sum 'La16 Zn4 Ga4 O4'
_space_group_name_H-M_alt 'C m c m'
_space_group_IT_number 63
_space_group_name_Hall '-C 2c 2'
_cell_length_a 7.141
_cell_length_b 15.034
_cell_length_c 7.140
_cell_angle_alpha 90.00
_cell_angle_beta 90.00
_cell_angle_gamma 90.00
loop_
_atom_site_label
_atom_site_type_symbol
_atom_site_fract_x
_atom_site_fract_y
_atom_site_fract_z
_atom_site_occupancy
La1 La 0.000 0.072 0.250 1
La2 La 0.000 0.427 0.250 1
La3 La 0.250 0.250 0.000 1
Zn1 Zn 0.000 0.126 0.750 1
Ga1 Ga 0.000 0.373 0.750 1
O1 O 0.000 0.248 0.250 1
```

Calculated values
Its volume is 27.4 Å³ per atom. As for the crystal system: orthorhombic. The calculated total energy comes out at -5.1494 eV per atom. Its density of states at the Fermi level is 0.69 states/eV/atom.

***

Record 6
The following is a DFT calculation (PBE-GGA) of a relaxed La3TmIn crystal.

Geometry as CIF:
```
data_La3TmIn
_chemical_formula_sum 'La12 Tm4 In4'
_space_group_name_H-M_alt 'C m c m'
_space_group_IT_number 63
_space_group_name_Hall '-C 2c 2'
_cell_length_a 4.966
_cell_length_b 26.114
_cell_length_c 4.944
_cell_angle_alpha 90.00
_cell_angle_beta 90.00
_cell_angle_gamma 90.00
loop_
_atom_site_label
_atom_site_type_symbol
_atom_site_fract_x
_atom_site_fract_y
_atom_site_fract_z
_atom_site_occupancy
La1 La 0.000 0.054 0.250 1
La2 La 0.000 0.250 0.250 1
La3 La 0.000 0.441 0.250 1
Tm1 Tm 0.000 0.347 0.750 1
In1 In 0.000 0.153 0.750 1
```

Calculated values
For the excess energy over the best structure of this formula in the dataset, the calculation gives 0 meV per atom. The formation energy comes out at -0.19 eV per atom. Its volume is 32.1 Å³ per atom. As for the crystal system: orthorhombic. The calculated total energy comes out at -4.5907 eV per atom. Its density of states at the Fermi level is 1.29 states/eV/atom.

***

Record 7
The following is a DFT calculation (PBE-GGA) of a relaxed Ca2NiPBr crystal.

Geometry as CIF:
```
data_Ca2NiPBr
_chemical_formula_sum 'Ca2 Ni1 P1 Br1'
_space_group_name_H-M_alt 'P 4/m m m'
_space_group_IT_number 123
_space_group_name_Hall '-P 4 2'
_cell_length_a 5.509
_cell_length_b 5.509
_cell_length_c 4.094
_cell_angle_alpha 90.00
_cell_angle_beta 90.00
_cell_angle_gamma 90.00
loop_
_atom_site_label
_atom_site_type_symbol
_atom_site_fract_x
_atom_site_fract_y
_atom_site_fract_z
_atom_site_occupancy
Ca1 Ca 0.000 0.500 0.000 1
Ni1 Ni 0.000 0.000 0.000 1
P1 P 0.000 0.000 0.500 1
Br1 Br 0.500 0.500 0.500 1
```

Calculated values
Its volume is 24.9 Å³ per atom. As for the crystal system: tetragonal. The calculated total energy comes out at -4.2974 eV per atom. Its density of states at the Fermi level is 0.13 states/eV/atom.

***

Record 8
The following is a DFT calculation (PBE-GGA) of a relaxed Ho3Er2In6 crystal.

Geometry as CIF:
```
data_Ho3Er2In6
_chemical_formula_sum 'Ho6 Er4 In12'
_space_group_name_H-M_alt 'I 4/m m m'
_space_group_IT_number 139
_space_group_name_Hall '-I 4 2'
_cell_length_a 5.756
_cell_length_b 5.756
_cell_length_c 22.230
_cell_angle_alpha 90.00
_cell_angle_beta 90.00
_cell_angle_gamma 90.00
loop_
_atom_site_label
_atom_site_type_symbol
_atom_site_fract_x
_atom_site_fract_y
_atom_site_fract_z
_atom_site_occupancy
Ho1 Ho 0.000 0.000 0.000 1
Ho2 Ho 0.000 0.000 0.146 1
Er1 Er 0.000 0.000 0.423 1
In1 In 0.000 0.000 0.285 1
In2 In 0.000 0.500 0.071 1
```

Calculated values
The formation energy comes out at 0.11 eV per atom. Its volume is 33.5 Å³ per atom. As for the crystal system: tetragonal. The calculated total energy comes out at -3.4626 eV per atom. Its density of states at the Fermi level is 1.25 states/eV/atom.

***

Record 9
The following is a DFT calculation (PBE-GGA) of a relaxed Ba4Pb2I crystal.

Geometry as CIF:
```
data_Ba4Pb2I
_chemical_formula_sum 'Ba12 Pb6 I3'
_space_group_name_H-M_alt 'R -3 m'
_space_group_IT_number 166
_space_group_name_Hall '-R 3 2"'
_cell_length_a 6.0730
_cell_length_b 6.0730
_cell_length_c 30.2908
_cell_angle_alpha 90.00
_cell_angle_beta 90.00
_cell_angle_gamma 120.00
loop_
_atom_site_label
_atom_site_type_symbol
_atom_site_fract_x
_atom_site_fract_y
_atom_site_fract_z
_atom_site_occupancy
Ba1 Ba 0.0000 0.0000 0.1247 1
Ba2 Ba 0.0000 0.0000 0.3744 1
Pb1 Pb 0.0000 0.0000 0.2448 1
I1 I 0.0000 0.0000 0.0000 1
```

Calculated values
For the excess energy over the best structure of this formula in the dataset, the calculation gives 0 meV per atom. Its volume is 46.1 Å³ per atom. As for the crystal system: trigonal. The calculated total energy comes out at -3.0861 eV per atom. Its density of states at the Fermi level is 1.56 states/eV/atom.

***

Record 10
The following is a DFT calculation (PBE-GGA) of a relaxed Pr3Nd2Tm4 crystal.

Geometry as CIF:
```
data_Pr3Nd2Tm4
_chemical_formula_sum 'Pr12 Nd8 Tm16'
_space_group_name_H-M_alt 'C 1 2/c 1'
_space_group_IT_number 15
_space_group_name_Hall '-C 2yc'
_cell_length_a 16.468
_cell_length_b 11.822
_cell_length_c 6.177
_cell_angle_alpha 90.00
_cell_angle_beta 97.66
_cell_angle_gamma 90.00
loop_
_atom_site_label
_atom_site_type_symbol
_atom_site_fract_x
_atom_site_fract_y
_atom_site_fract_z
_atom_site_occupancy
Pr1 Pr 0.000 0.129 0.250 1
Pr2 Pr 0.162 0.357 0.093 1
Nd1 Nd 0.114 0.131 0.787 1
Tm1 Tm 0.057 0.385 0.540 1
Tm2 Tm 0.232 0.117 0.360 1
```

Calculated values
For the excess energy over the best structure of this formula in the dataset, the calculation gives 7 meV per atom. The formation energy comes out at 0.10 eV per atom. Its volume is 33.1 Å³ per atom. As for the crystal system: monoclinic. The calculated total energy comes out at -4.5449 eV per atom. Its density of states at the Fermi level is 1.46 states/eV/atom.

***

Record 11
The following is a DFT calculation (PBE-GGA) of a relaxed Pm5Tm2Si4 crystal.

Geometry as CIF:
```
data_Pm5Tm2Si4
_chemical_formula_sum 'Pm10 Tm4 Si8'
_space_group_name_H-M_alt 'I m m m'
_space_group_IT_number 71
_space_group_name_Hall '-I 2 2'
_cell_length_a 4.492
_cell_length_b 11.594
_cell_length_c 12.993
_cell_angle_alpha 90.00
_cell_angle_beta 90.00
_cell_angle_gamma 90.00
loop_
_atom_site_label
_atom_site_type_symbol
_atom_site_fract_x
_atom_site_fract_y
_atom_site_fract_z
_atom_site_occupancy
Pm1 Pm 0.000 0.000 0.000 1
Pm2 Pm 0.000 0.170 0.357 1
Tm1 Tm 0.000 0.500 0.301 1
Si1 Si 0.000 0.353 0.500 1
Si2 Si 0.000 0.500 0.092 1
```

Calculated values
Its volume is 30.8 Å³ per atom. As for the crystal system: orthorhombic. The calculated total energy comes out at -5.0618 eV per atom. Its density of states at the Fermi level is 1.16 states/eV/atom.

***

Record 12
The following is a DFT calculation (PBE-GGA) of a relaxed TbDyHo3Tm crystal.

Geometry as CIF:
```
data_TbDyHo3Tm
_chemical_formula_sum 'Tb4 Dy4 Ho12 Tm4'
_space_group_name_H-M_alt 'C m c m'
_space_group_IT_number 63
_space_group_name_Hall '-C 2c 2'
_cell_length_a 4.976
_cell_length_b 14.939
_cell_length_c 9.947
_cell_angle_alpha 90.00
_cell_angle_beta 90.00
_cell_angle_gamma 90.00
loop_
_atom_site_label
_atom_site_type_symbol
_atom_site_fract_x
_atom_site_fract_y
_atom_site_fract_z
_atom_site_occupancy
Tb1 Tb 0.000 0.000 0.000 1
Dy1 Dy 0.000 0.500 0.250 1
Ho1 Ho 0.000 0.167 0.250 1
Ho2 Ho 0.000 0.333 0.000 1
Tm1 Tm 0.000 0.167 0.750 1
```

Calculated values
The formation energy comes out at 0.02 eV per atom. Its volume is 30.8 Å³ per atom. As for the crystal system: orthorhombic. The calculated total energy comes out at -4.5528 eV per atom. Its density of states at the Fermi level is 1.30 states/eV/atom.